Here is a PBEsol-optimized structure of AlMo4W from Alexandria via LeMat-Bulk. Energies are from meta-GGA SCAN.

Cell: 5.1279 5.1279 5.1279 Å, 60.00 60.00 60.00°
Atoms (fractional coordinates):
Al1 0.0000 0.0000 0.0000
Mo1 0.3748 0.3748 0.3748
Mo2 0.3748 0.3748 0.8755
Mo3 0.3748 0.8755 0.3748
Mo4 0.8755 0.3748 0.3748
W1 0.7500 0.7500 0.7500

Output
**Total moment**: 0.0 μB/f.u.
**Total DFT energy (no corrections)**: -215.70 eV/f.u.
**Energy relative to the elements**: 20.6 kJ/mol of atoms